Density functional theory data (PBE-GGA) for crystalline Ta2OsAu at its relaxed geometry.

Lattice parameters (Å, degrees): 9.6300 9.6300 9.6300 17.20 17.20 17.20
Positions (direct):
Os: 0.7500 0.7500 0.7500
Ta: 0.4967 0.4967 0.4967
Ta: 0.0033 0.0033 0.0033
Au: 0.2500 0.2500 0.2500

Output
- SG = R-3m (166)
- offset from the most stable computed form (meV per atom) = 248
- theoretical density (g cm⁻³) = 18.26